(1)
This record from Alexandria via LeMat-Bulk describes a relaxed CsNiIr2 crystal. The functional is PBE.

Computed properties:
total magnetic moment	2.6	μB/f.u.
D(E_F)	5.8	states/eV/f.u.
formation energy from the elements	1.7440	eV per atom

a = 4.700 Å, b = 4.700 Å, c = 4.700 Å
α = 60.00°, β = 60.00°, γ = 60.00°
Positions (direct):
Cs: 0.000 0.000 0.000
Ni: 0.500 0.500 0.500
Ir: 0.250 0.250 0.250
Ir: 0.750 0.750 0.750

(2)
This record from Alexandria via LeMat-Bulk describes a relaxed CsNi3Ir crystal. The functional is PBE.

Computed properties:
energy above the most stable polymorph in this dataset	0.0	meV/atom
total magnetic moment	3.1	μB/f.u.
D(E_F)	6.8	states/eV/f.u.
formation energy from the elements	0.9752	eV per atom

a = 4.775 Å, b = 4.775 Å, c = 4.775 Å
α = 90.00°, β = 90.00°, γ = 90.00°
Positions (direct):
Cs: 0.000 0.000 0.000
Ni: 0.000 0.500 0.500
Ni: 0.500 0.000 0.500
Ni: 0.500 0.500 0.000
Ir: 0.500 0.500 0.500

(3)
This record from Alexandria via LeMat-Bulk describes a relaxed CsSc2NiIr crystal. The functional is PBE.

Computed properties:
total magnetic moment	0.7	μB/f.u.
D(E_F)	6.8	states/eV/f.u.
formation energy from the elements	2.0570	eV per atom

a = 5.167 Å, b = 5.167 Å, c = 4.913 Å
α = 90.00°, β = 90.00°, γ = 90.00°
Positions (direct):
Cs: 0.000 0.000 0.000
Sc: 0.000 0.500 0.000
Sc: 0.500 0.000 0.000
Ni: 0.500 0.500 0.500
Ir: 0.000 0.000 0.500

(4)
This record from Alexandria via LeMat-Bulk describes a relaxed CsNpIrO6 crystal. The functional is PBE.

Computed properties:
formation energy (no corrections)	-1.88	eV/atom
total magnetic moment	0.4	μB/f.u.
D(E_F)	6.8	states/eV/f.u.

a = 7.556 Å, b = 7.556 Å, c = 7.556 Å
α = 122.29°, β = 117.25°, γ = 90.46°
Positions (direct):
Cs: 0.366 0.116 0.250
Cs: 0.634 0.884 0.750
Np: 0.000 0.500 0.500
Np: 0.500 0.500 0.000
Ir: 0.000 0.000 0.500
Ir: 0.000 0.500 0.000
O: 0.053 0.426 0.233
O: 0.053 0.820 0.627
O: 0.056 0.806 0.250
O: 0.307 0.180 0.733
O: 0.307 0.574 0.127
O: 0.325 0.575 0.750
O: 0.675 0.425 0.250
O: 0.693 0.426 0.873
O: 0.693 0.820 0.267
O: 0.944 0.194 0.750
O: 0.947 0.180 0.373
O: 0.947 0.574 0.767

(5)
This record from Alexandria via LeMat-Bulk describes a relaxed CsNp4Ir3S12 crystal. The functional is PBE.

Computed properties:
formation energy (no corrections)	-0.71	eV/atom
total magnetic moment	8.1	μB/f.u.
D(E_F)	34.3	states/eV/f.u.

a = 8.435 Å, b = 8.435 Å, c = 8.435 Å
α = 109.47°, β = 109.47°, γ = 109.47°
Positions (direct):
Cs: 0.000 0.000 0.000
Np: 0.000 0.000 0.500
Np: 0.000 0.500 0.000
Np: 0.500 0.000 0.000
Np: 0.500 0.500 0.500
Ir: 0.000 0.500 0.500
Ir: 0.500 0.000 0.500
Ir: 0.500 0.500 0.000
S: 0.161 0.835 0.326
S: 0.165 0.326 0.491
S: 0.165 0.674 0.839
S: 0.326 0.161 0.835
S: 0.326 0.491 0.165
S: 0.491 0.165 0.326
S: 0.509 0.835 0.674
S: 0.674 0.509 0.835
S: 0.674 0.839 0.165
S: 0.835 0.326 0.161
S: 0.835 0.674 0.509
S: 0.839 0.165 0.674

(6)
This record from Alexandria via LeMat-Bulk describes a relaxed Cs3Np3IrSe8 crystal. The functional is PBE.

Computed properties:
formation energy (no corrections)	-1.00	eV/atom
total magnetic moment	11.0	μB/f.u.
D(E_F)	25.4	states/eV/f.u.

a = 9.837 Å, b = 9.837 Å, c = 9.837 Å
α = 49.39°, β = 49.39°, γ = 49.39°
Positions (direct):
Cs: 0.000 0.500 0.500
Cs: 0.500 0.000 0.500
Cs: 0.500 0.500 0.000
Np: 0.000 0.000 0.500
Np: 0.000 0.500 0.000
Np: 0.500 0.000 0.000
Ir: 0.500 0.500 0.500
Se: 0.230 0.230 0.230
Se: 0.253 0.709 0.709
Se: 0.291 0.291 0.747
Se: 0.291 0.747 0.291
Se: 0.709 0.253 0.709
Se: 0.709 0.709 0.253
Se: 0.747 0.291 0.291
Se: 0.770 0.770 0.770

(7)
This record from Alexandria via LeMat-Bulk describes a relaxed Cs2Np2IrSe6 crystal. The functional is PBE.

Computed properties:
formation energy (no corrections)	-0.94	eV/atom
total magnetic moment	7.0	μB/f.u.
D(E_F)	15.5	states/eV/f.u.

a = 6.865 Å, b = 6.865 Å, c = 9.007 Å
α = 98.11°, β = 98.11°, γ = 118.53°
Positions (direct):
Cs: 0.174 0.826 0.000
Cs: 0.826 0.174 0.000
Np: 0.331 0.669 0.500
Np: 0.669 0.331 0.500
Ir: 0.000 0.000 0.500
Se: 0.070 0.371 0.680
Se: 0.240 0.240 0.325
Se: 0.371 0.070 0.680
Se: 0.629 0.930 0.320
Se: 0.760 0.760 0.675
Se: 0.930 0.629 0.320

(8)
This record from Alexandria via LeMat-Bulk describes a relaxed Cs4IrO4 crystal. The functional is PBE.

Computed properties:
formation energy (no corrections)	-1.16	eV/atom
energy above the most stable polymorph in this dataset	0.0	meV/atom
total magnetic moment	3.0	μB/f.u.
D(E_F)	0.1	states/eV/f.u.

a = 6.317 Å, b = 6.317 Å, c = 6.911 Å
α = 106.97°, β = 106.97°, γ = 65.16°
Positions (direct):
Cs: 0.116 0.116 0.352
Cs: 0.310 0.310 0.919
Cs: 0.690 0.690 0.081
Cs: 0.884 0.884 0.648
Ir: 0.500 0.500 0.500
O: 0.190 0.593 0.319
O: 0.407 0.810 0.681
O: 0.593 0.190 0.319
O: 0.810 0.407 0.681

(9)
This record from Alexandria via LeMat-Bulk describes a relaxed Cs2Ir3O8 crystal. The functional is PBE.

Computed properties:
formation energy (no corrections)	-0.99	eV/atom
total magnetic moment	0.0	μB/f.u.
D(E_F)	9.9	states/eV/f.u.

a = 7.710 Å, b = 7.710 Å, c = 5.444 Å
α = 106.86°, β = 106.86°, γ = 49.04°
Positions (direct):
Cs: 0.224 0.224 0.187
Cs: 0.776 0.776 0.813
Ir: 0.244 0.756 0.500
Ir: 0.500 0.500 0.000
Ir: 0.756 0.244 0.500
O: 0.082 0.082 0.475
O: 0.213 0.643 0.133
O: 0.357 0.787 0.867
O: 0.425 0.425 0.602
O: 0.575 0.575 0.398
O: 0.643 0.213 0.133
O: 0.787 0.357 0.867
O: 0.918 0.918 0.525

(10)
This record from Alexandria via LeMat-Bulk describes a relaxed Cs2IrO6 crystal. The functional is PBE.

Computed properties:
formation energy (no corrections)	-0.46	eV/atom
total magnetic moment	1.0	μB/f.u.
D(E_F)	0.1	states/eV/f.u.

a = 6.986 Å, b = 6.986 Å, c = 3.638 Å
α = 97.62°, β = 97.62°, γ = 64.11°
Positions (direct):
Cs: 0.187 0.187 0.453
Cs: 0.813 0.813 0.547
Ir: 0.500 0.500 0.000
O: 0.206 0.566 0.088
O: 0.331 0.669 0.500
O: 0.434 0.794 0.912
O: 0.566 0.206 0.088
O: 0.669 0.331 0.500
O: 0.794 0.434 0.912

(11)
This record from Alexandria via LeMat-Bulk describes a relaxed Cs3IrO6 crystal. The functional is PBE.

Computed properties:
formation energy (no corrections)	-0.99	eV/atom
energy above the most stable polymorph in this dataset	0.0	meV/atom
total magnetic moment	0.2	μB/f.u.
D(E_F)	0.2	states/eV/f.u.

a = 6.694 Å, b = 6.694 Å, c = 9.723 Å
α = 90.00°, β = 90.00°, γ = 90.00°
Positions (direct):
Cs: 0.000 0.000 0.000
Cs: 0.000 0.500 0.250
Cs: 0.000 0.500 0.750
Cs: 0.500 0.000 0.250
Cs: 0.500 0.000 0.750
Cs: 0.500 0.500 0.500
Ir: 0.000 0.000 0.500
Ir: 0.500 0.500 0.000
O: 0.000 0.000 0.307
O: 0.000 0.000 0.693
O: 0.140 0.242 0.500
O: 0.242 0.860 0.500
O: 0.258 0.360 0.000
O: 0.360 0.742 0.000
O: 0.500 0.500 0.193
O: 0.500 0.500 0.807
O: 0.640 0.258 0.000
O: 0.742 0.640 0.000
O: 0.758 0.140 0.500
O: 0.860 0.758 0.500

(12)
This record from Alexandria via LeMat-Bulk describes a relaxed Cs5IrO5 crystal. The functional is PBE.

Computed properties:
formation energy (no corrections)	-0.95	eV/atom
total magnetic moment	2.8	μB/f.u.
D(E_F)	3.2	states/eV/f.u.

a = 6.971 Å, b = 6.971 Å, c = 7.885 Å
α = 104.36°, β = 104.36°, γ = 55.08°
Positions (direct):
Cs: 0.000 0.000 0.000
Cs: 0.329 0.329 0.673
Cs: 0.340 0.340 0.217
Cs: 0.660 0.660 0.783
Cs: 0.671 0.671 0.327
Ir: 0.000 0.000 0.500
O: 0.108 0.108 0.727
O: 0.120 0.120 0.387
O: 0.500 0.500 0.500
O: 0.880 0.880 0.613
O: 0.892 0.892 0.273

(13)
This record from Alexandria via LeMat-Bulk describes a relaxed CsIrO4 crystal. The functional is PBE.

Computed properties:
formation energy (no corrections)	-0.77	eV/atom
energy above the most stable polymorph in this dataset	133.4	meV/atom
total magnetic moment	0.2	μB/f.u.
D(E_F)	4.6	states/eV/f.u.

a = 7.727 Å, b = 7.727 Å, c = 5.231 Å
α = 107.58°, β = 107.58°, γ = 39.90°
Positions (direct):
Cs: 0.224 0.776 0.750
Cs: 0.776 0.224 0.250
Ir: 0.000 0.500 0.000
Ir: 0.500 0.000 0.500
O: 0.142 0.297 0.302
O: 0.213 0.542 0.140
O: 0.297 0.142 0.802
O: 0.458 0.787 0.360
O: 0.542 0.213 0.640
O: 0.703 0.858 0.198
O: 0.787 0.458 0.860
O: 0.858 0.703 0.698

(14)
This record from Alexandria via LeMat-Bulk describes a relaxed CsIr2O2 crystal. The functional is PBE.

Computed properties:
formation energy (no corrections)	0.17	eV/atom
total magnetic moment	1.0	μB/f.u.
D(E_F)	4.5	states/eV/f.u.

a = 6.881 Å, b = 6.881 Å, c = 6.881 Å
α = 145.38°, β = 145.38°, γ = 49.78°
Positions (direct):
Cs: 0.000 0.000 0.000
Ir: 0.283 0.283 0.000
Ir: 0.717 0.717 0.000
O: 0.250 0.750 0.500
O: 0.750 0.250 0.500

(15)
This record from Alexandria via LeMat-Bulk describes a relaxed Cs4IrO4 crystal. The functional is PBE.

Computed properties:
formation energy (no corrections)	-1.15	eV/atom
energy above the most stable polymorph in this dataset	7.2	meV/atom
total magnetic moment	3.1	μB/f.u.
D(E_F)	0.6	states/eV/f.u.

a = 6.948 Å, b = 6.948 Å, c = 6.948 Å
α = 100.70°, β = 100.70°, γ = 128.96°
Positions (direct):
Cs: 0.112 0.706 0.818
Cs: 0.294 0.112 0.405
Cs: 0.706 0.888 0.595
Cs: 0.888 0.294 0.182
Ir: 0.500 0.500 0.000
O: 0.290 0.436 0.726
O: 0.436 0.710 0.146
O: 0.564 0.290 0.854
O: 0.710 0.564 0.274

(16)
This record from Alexandria via LeMat-Bulk describes a relaxed CsIr3O crystal. The functional is PBE.

Computed properties:
formation energy (no corrections)	3.67	eV/atom
total magnetic moment	4.9	μB/f.u.
D(E_F)	8.6	states/eV/f.u.

a = 5.092 Å, b = 5.092 Å, c = 5.092 Å
α = 90.00°, β = 90.00°, γ = 90.00°
Positions (direct):
Cs: 0.000 0.000 0.000
Ir: 0.000 0.000 0.500
Ir: 0.000 0.500 0.000
Ir: 0.500 0.000 0.000
O: 0.500 0.500 0.500

(17)
This record from Alexandria via LeMat-Bulk describes a relaxed CsIrO3 crystal. The functional is PBE.

Computed properties:
formation energy (no corrections)	-1.06	eV/atom
total magnetic moment	0.0	μB/f.u.
D(E_F)	3.7	states/eV/f.u.

a = 6.533 Å, b = 6.533 Å, c = 5.203 Å
α = 90.00°, β = 90.00°, γ = 120.00°
Positions (direct):
Cs: 0.333 0.667 0.250
Cs: 0.667 0.333 0.750
Ir: 0.000 0.000 0.000
Ir: 0.000 0.000 0.500
O: 0.134 0.268 0.750
O: 0.134 0.866 0.750
O: 0.268 0.134 0.250
O: 0.732 0.866 0.750
O: 0.866 0.134 0.250
O: 0.866 0.732 0.250

(18)
This record from Alexandria via LeMat-Bulk describes a relaxed Cs3Ir2O8 crystal. The functional is PBE.

Computed properties:
formation energy (no corrections)	-0.98	eV/atom
total magnetic moment	3.0	μB/f.u.
D(E_F)	7.3	states/eV/f.u.

a = 8.848 Å, b = 8.848 Å, c = 8.848 Å
α = 43.34°, β = 43.34°, γ = 43.34°
Positions (direct):
Cs: 0.000 0.000 0.000
Cs: 0.203 0.203 0.203
Cs: 0.797 0.797 0.797
Ir: 0.406 0.406 0.406
Ir: 0.594 0.594 0.594
O: 0.267 0.718 0.718
O: 0.282 0.282 0.733
O: 0.282 0.733 0.282
O: 0.331 0.331 0.331
O: 0.669 0.669 0.669
O: 0.718 0.267 0.718
O: 0.718 0.718 0.267
O: 0.733 0.282 0.282

(19)
This record from Alexandria via LeMat-Bulk describes a relaxed CsIrO3 crystal. The functional is PBE.

Computed properties:
formation energy (no corrections)	-0.63	eV/atom
total magnetic moment	1.0	μB/f.u.
D(E_F)	5.2	states/eV/f.u.

a = 4.095 Å, b = 4.095 Å, c = 4.095 Å
α = 90.00°, β = 90.00°, γ = 90.00°
Positions (direct):
Cs: 0.000 0.000 0.000
Ir: 0.500 0.500 0.500
O: 0.000 0.500 0.500
O: 0.500 0.000 0.500
O: 0.500 0.500 0.000

(20)
This record from Alexandria via LeMat-Bulk describes a relaxed CsIrO4 crystal. The functional is PBE.

Computed properties:
formation energy (no corrections)	-0.91	eV/atom
energy above the most stable polymorph in this dataset	0.0	meV/atom
total magnetic moment	0.0	μB/f.u.

a = 6.859 Å, b = 6.859 Å, c = 6.292 Å
α = 98.47°, β = 98.47°, γ = 116.10°
Positions (direct):
Cs: 0.165 0.835 0.750
Cs: 0.835 0.165 0.250
Ir: 0.500 0.500 0.250
Ir: 0.500 0.500 0.750
O: 0.216 0.286 0.671
O: 0.286 0.216 0.171
O: 0.388 0.607 0.475
O: 0.393 0.612 0.025
O: 0.607 0.388 0.975
O: 0.612 0.393 0.525
O: 0.714 0.784 0.829
O: 0.784 0.714 0.329